i:
The following is a PBE-GGA calculation of K2CrBr after structural relaxation, from Alexandria.

Cell lengths 9.014, 9.014, 7.930 Å; angles 55.36, 55.36, 90.00 degrees
Positions (direct):
K: 0.665 0.125 0.250
K: 0.875 0.915 0.750
K: 0.375 0.335 0.750
K: 0.085 0.625 0.250
Br: 0.000 0.000 0.000
Br: 0.750 0.250 0.500
Cr: 0.250 0.750 0.500
Cr: 0.500 0.500 0.000

***

ii:
The following is a PBE-GGA calculation of K2CrBr after structural relaxation, from Alexandria.

Cell lengths 10.378, 10.378, 10.378 Å; angles 25.17, 25.17, 25.17 degrees
Positions (direct):
Cr: 0.774 0.774 0.774
K: 0.022 0.022 0.022
K: 0.219 0.219 0.219
Br: 0.485 0.485 0.485

***

Most stable of them? i.

***

i:
The following is a PBE-GGA calculation of K2CrBr after structural relaxation, from Alexandria.

Cell lengths 7.757, 7.757, 7.757 Å; angles 143.73, 143.73, 52.23 degrees
Positions (direct):
Br: 0.500 0.500 0.000
K: 0.000 0.000 0.000
K: 0.250 0.750 0.500
Cr: 0.750 0.250 0.500

***

ii:
The following is a PBE-GGA calculation of K2CrBr after structural relaxation, from Alexandria.

Cell lengths 8.868, 8.868, 4.475 Å; angles 104.09, 104.09, 29.25 degrees
Positions (direct):
Br: 0.508 0.508 0.503
K: 0.956 0.956 0.953
K: 0.706 0.706 0.712
Cr: 0.330 0.330 0.331

***

iii:
The following is a PBE-GGA calculation of K2CrBr after structural relaxation, from Alexandria.

Cell lengths 5.994, 5.994, 5.994 Å; angles 60.00, 60.00, 60.00 degrees
Positions (direct):
K: 0.750 0.750 0.750
K: 0.250 0.250 0.250
Cr: 0.000 0.000 0.000
Br: 0.500 0.500 0.500

***

iv:
The following is a PBE-GGA calculation of K2CrBr after structural relaxation, from Alexandria.

Cell lengths 4.931, 4.931, 7.086 Å; angles 90.00, 90.00, 90.00 degrees
Positions (direct):
Cr: 0.500 0.500 0.872
K: 0.500 0.500 0.373
K: 0.000 0.000 0.880
Br: 0.000 0.000 0.375

***

Most stable of them? ii.